# RbZnAsBr2

Crystalline RbZnAsBr2 at its relaxed geometry (GGA-PBE, Alexandria).

Computed properties:
- final energy (eV/f.u.) = -8.475
- relative energy among the computed polymorphs (kJ/mol of atoms) = 85.9
- formation energy from raw total energies (meV per atom) = 352

Cell lengths 6.505, 6.505, 7.433 Å; angles 90.00, 90.00, 90.00 degrees
Space group P4/mmm (No. 123)
Unique sites:
Rb 0.000 0.000 0.000 [1 per cell]
Zn 0.500 0.500 0.500 [1 per cell]
As 0.000 0.000 0.500 [1 per cell]
Br 0.000 0.500 0.000 [2 per cell]